*w*
# CsK2As2 | Alexandria | PBE | optimized geometry
data_CsK2As2
_chemical_formula_sum 'Cs2 K4 As4'
_space_group_name_H-M_alt 'P 1'
_space_group_IT_number 1
_space_group_name_Hall 'P 1'
_cell_length_a 5.542
_cell_length_b 5.542
_cell_length_c 12.716
_cell_angle_alpha 90.00
_cell_angle_beta 90.00
_cell_angle_gamma 90.00
loop_
_atom_site_label
_atom_site_type_symbol
_atom_site_fract_x
_atom_site_fract_y
_atom_site_fract_z
Cs1 Cs 0.000 0.000 0.000
Cs2 Cs 0.500 0.500 0.500
K1 K 0.000 0.500 0.250
K2 K 0.000 0.500 0.750
K3 K 0.500 0.000 0.250
K4 K 0.500 0.000 0.750
As1 As 0.000 0.000 0.405
As2 As 0.000 0.000 0.595
As3 As 0.500 0.500 0.095
As4 As 0.500 0.500 0.905
# V, Å³/f.u.: 195.3
# Size of the total moment, Bohr magnetons per cell: 2.0


*x*
# CsK2As2 | Alexandria | PBE | optimized geometry
data_CsK2As2
_chemical_formula_sum 'Cs2 K4 As4'
_space_group_name_H-M_alt 'P 1'
_space_group_IT_number 1
_space_group_name_Hall 'P 1'
_cell_length_a 5.686
_cell_length_b 5.686
_cell_length_c 12.353
_cell_angle_alpha 90.00
_cell_angle_beta 90.00
_cell_angle_gamma 90.00
loop_
_atom_site_label
_atom_site_type_symbol
_atom_site_fract_x
_atom_site_fract_y
_atom_site_fract_z
Cs1 Cs 0.000 0.000 0.000
Cs2 Cs 0.500 0.500 0.500
K1 K 0.000 0.000 0.364
K2 K 0.000 0.000 0.636
K3 K 0.500 0.500 0.136
K4 K 0.500 0.500 0.864
As1 As 0.000 0.500 0.250
As2 As 0.000 0.500 0.750
As3 As 0.500 0.000 0.250
As4 As 0.500 0.000 0.750
# V, Å³/f.u.: 199.7
# Size of the total moment, Bohr magnetons per cell: 0.0


*y*
# CsK2As2 | Alexandria | PBE | optimized geometry
data_CsK2As2
_chemical_formula_sum 'Cs2 K4 As4'
_space_group_name_H-M_alt 'P 1'
_space_group_IT_number 1
_space_group_name_Hall 'P 1'
_cell_length_a 7.876
_cell_length_b 7.876
_cell_length_c 9.494
_cell_angle_alpha 101.10
_cell_angle_beta 101.10
_cell_angle_gamma 45.52
loop_
_atom_site_label
_atom_site_type_symbol
_atom_site_fract_x
_atom_site_fract_y
_atom_site_fract_z
Cs1 Cs 0.178 0.822 0.750
Cs2 Cs 0.822 0.178 0.250
K1 K 0.141 0.487 0.342
K2 K 0.487 0.141 0.842
K3 K 0.513 0.859 0.158
K4 K 0.859 0.513 0.658
As1 As 0.015 0.646 0.006
As2 As 0.354 0.985 0.494
As3 As 0.646 0.015 0.506
As4 As 0.985 0.354 0.994
# V, Å³/f.u.: 205.5
# Size of the total moment, Bohr magnetons per cell: 2.1


*z*
# CsK2As2 | Alexandria | PBE | optimized geometry
data_CsK2As2
_chemical_formula_sum 'Cs2 K4 As4'
_space_group_name_H-M_alt 'P 1'
_space_group_IT_number 1
_space_group_name_Hall 'P 1'
_cell_length_a 8.912
_cell_length_b 8.912
_cell_length_c 4.996
_cell_angle_alpha 90.00
_cell_angle_beta 90.00
_cell_angle_gamma 90.00
loop_
_atom_site_label
_atom_site_type_symbol
_atom_site_fract_x
_atom_site_fract_y
_atom_site_fract_z
Cs1 Cs 0.000 0.000 0.000
Cs2 Cs 0.500 0.500 0.000
K1 K 0.160 0.340 0.500
K2 K 0.340 0.840 0.500
K3 K 0.660 0.160 0.500
K4 K 0.840 0.660 0.500
As1 As 0.097 0.597 0.000
As2 As 0.403 0.097 0.000
As3 As 0.597 0.903 0.000
As4 As 0.903 0.403 0.000
# V, Å³/f.u.: 198.4
# Size of the total moment, Bohr magnetons per cell: 1.3


Which structure wins on stability? *y* wins.


*w*
# Cs3KAs | Alexandria | PBE | optimized geometry
data_Cs3KAs
_chemical_formula_sum 'Cs3 K1 As1'
_space_group_name_H-M_alt 'P 1'
_space_group_IT_number 1
_space_group_name_Hall 'P 1'
_cell_length_a 7.236
_cell_length_b 7.236
_cell_length_c 7.236
_cell_angle_alpha 90.00
_cell_angle_beta 90.00
_cell_angle_gamma 90.00
loop_
_atom_site_label
_atom_site_type_symbol
_atom_site_fract_x
_atom_site_fract_y
_atom_site_fract_z
Cs1 Cs 0.000 0.000 0.500
Cs2 Cs 0.000 0.500 0.000
Cs3 Cs 0.500 0.000 0.000
K1 K 0.500 0.500 0.500
As1 As 0.000 0.000 0.000
# V, Å³/f.u.: 378.9
# Size of the total moment, Bohr magnetons per cell: 1.0


*x*
# Cs3KAs | Alexandria | PBE | optimized geometry
data_Cs3KAs
_chemical_formula_sum 'Cs3 K1 As1'
_space_group_name_H-M_alt 'P 1'
_space_group_IT_number 1
_space_group_name_Hall 'P 1'
_cell_length_a 7.748
_cell_length_b 7.748
_cell_length_c 7.748
_cell_angle_alpha 90.00
_cell_angle_beta 90.00
_cell_angle_gamma 90.00
loop_
_atom_site_label
_atom_site_type_symbol
_atom_site_fract_x
_atom_site_fract_y
_atom_site_fract_z
Cs1 Cs 0.000 0.000 0.500
Cs2 Cs 0.000 0.500 0.000
Cs3 Cs 0.500 0.000 0.000
K1 K 0.000 0.000 0.000
As1 As 0.500 0.500 0.500
# V, Å³/f.u.: 465.1
# Size of the total moment, Bohr magnetons per cell: 1.0


Which structure wins on stability? *w* wins.


*w*
# CsK3As | Alexandria | PBE | optimized geometry
data_CsK3As
_chemical_formula_sum 'Cs1 K3 As1'
_space_group_name_H-M_alt 'P 1'
_space_group_IT_number 1
_space_group_name_Hall 'P 1'
_cell_length_a 6.649
_cell_length_b 6.649
_cell_length_c 6.649
_cell_angle_alpha 90.00
_cell_angle_beta 90.00
_cell_angle_gamma 90.00
loop_
_atom_site_label
_atom_site_type_symbol
_atom_site_fract_x
_atom_site_fract_y
_atom_site_fract_z
Cs1 Cs 0.000 0.000 0.000
K1 K 0.000 0.500 0.500
K2 K 0.500 0.000 0.500
K3 K 0.500 0.500 0.000
As1 As 0.500 0.500 0.500
# V, Å³/f.u.: 294.0
# Size of the total moment, Bohr magnetons per cell: 0.0


*x*
# CsK3As | Alexandria | PBE | optimized geometry
data_CsK3As
_chemical_formula_sum 'Cs1 K3 As1'
_space_group_name_H-M_alt 'P 1'
_space_group_IT_number 1
_space_group_name_Hall 'P 1'
_cell_length_a 6.899
_cell_length_b 6.899
_cell_length_c 6.899
_cell_angle_alpha 90.00
_cell_angle_beta 90.00
_cell_angle_gamma 90.00
loop_
_atom_site_label
_atom_site_type_symbol
_atom_site_fract_x
_atom_site_fract_y
_atom_site_fract_z
Cs1 Cs 0.000 0.000 0.000
K1 K 0.000 0.000 0.500
K2 K 0.000 0.500 0.000
K3 K 0.500 0.000 0.000
As1 As 0.500 0.500 0.500
# V, Å³/f.u.: 328.4
# Size of the total moment, Bohr magnetons per cell: 0.0


Which structure wins on stability? *w* wins.


*w*
# CsKAs2 | Alexandria | PBE | optimized geometry
data_CsKAs2
_chemical_formula_sum 'Cs2 K2 As4'
_space_group_name_H-M_alt 'P 1'
_space_group_IT_number 1
_space_group_name_Hall 'P 1'
_cell_length_a 4.186
_cell_length_b 5.454
_cell_length_c 12.974
_cell_angle_alpha 90.00
_cell_angle_beta 90.00
_cell_angle_gamma 90.00
loop_
_atom_site_label
_atom_site_type_symbol
_atom_site_fract_x
_atom_site_fract_y
_atom_site_fract_z
Cs1 Cs 0.000 0.000 0.000
Cs2 Cs 0.000 0.500 0.500
K1 K 0.500 0.000 0.268
K2 K 0.500 0.500 0.768
As1 As 0.000 0.000 0.710
As2 As 0.000 0.500 0.210
As3 As 0.500 0.000 0.596
As4 As 0.500 0.500 0.096
# V, Å³/f.u.: 148.1
# Size of the total moment, Bohr magnetons per cell: 0.0


*x*
# CsKAs2 | Alexandria | PBE | optimized geometry
data_CsKAs2
_chemical_formula_sum 'Cs4 K4 As8'
_space_group_name_H-M_alt 'P 1'
_space_group_IT_number 1
_space_group_name_Hall 'P 1'
_cell_length_a 8.221
_cell_length_b 8.221
_cell_length_c 8.221
_cell_angle_alpha 90.00
_cell_angle_beta 90.00
_cell_angle_gamma 90.00
loop_
_atom_site_label
_atom_site_type_symbol
_atom_site_fract_x
_atom_site_fract_y
_atom_site_fract_z
Cs1 Cs 0.000 0.000 0.000
Cs2 Cs 0.000 0.500 0.500
Cs3 Cs 0.500 0.000 0.500
Cs4 Cs 0.500 0.500 0.000
K1 K 0.000 0.000 0.500
K2 K 0.000 0.500 0.000
K3 K 0.500 0.000 0.000
K4 K 0.500 0.500 0.500
As1 As 0.250 0.250 0.250
As2 As 0.250 0.250 0.750
As3 As 0.250 0.750 0.250
As4 As 0.250 0.750 0.750
As5 As 0.750 0.250 0.250
As6 As 0.750 0.250 0.750
As7 As 0.750 0.750 0.250
As8 As 0.750 0.750 0.750
# V, Å³/f.u.: 138.9
# Size of the total moment, Bohr magnetons per cell: 0.0


Which structure wins on stability? *w* wins.